1.
Entry from OQMD: a relaxed SmZn8Cu4 crystal (PBE-GGA).

a b c (Å): 8.8405 8.8405 4.9363
angles (deg): 90.00 90.00 90.00
Closest atoms and distances in Å follow each position.
Space group I4/mmm (No. 139)
Unique sites:
1 Sm 0.0000 0.0000 0.0000  12 Zn 3.09-3.15, 8 Cu 3.36
2 Zn 0.0000 0.2214 0.5000  4 Cu 2.54, 6 Zn 2.71-2.80
3 Zn 0.0000 0.3492 0.0000  5 Zn 2.67-2.80, 4 Cu 2.68
4 Cu 0.2500 0.2500 0.2500  2 Cu 2.47, 8 Zn 2.54-2.68

Results
- Total moment: 0.004 μB/f.u.
- Energy of formation: -0.21 eV/atom
- Total energy: -2.49 eV per atom

2.
Entry from OQMD: a relaxed NaCu2Sb2 crystal (PBE-GGA).

a b c (Å): 4.3922 4.3922 11.4046
angles (deg): 90.00 90.00 90.00
Closest atoms and distances in Å follow each position.
Space group I4/mmm (No. 139)
Unique sites:
1 Na 0.0000 0.0000 0.0000  8 Sb 3.42, 8 Cu 3.60
2 Cu 0.0000 0.5000 0.2500  4 Sb 2.61
3 Sb 0.0000 0.0000 0.3745  4 Cu 2.61, 1 Sb 2.86

Results
- Total energy: -3.51 eV per atom

3.
Entry from OQMD: a relaxed ScAgTe crystal (PBE-GGA).

a b c (Å): 6.7616 6.7616 6.7616
angles (deg): 90.00 90.00 90.00
Closest atoms and distances in Å follow each position.
Space group F-43m (No. 216)
Unique sites:
1 Sc 0.0000 0.0000 0.0000  4 Ag 2.93, 4 Te 2.93
2 Ag 0.2500 0.2500 0.7500  4 Sc 2.93
3 Te 0.2500 0.2500 0.2500  4 Sc 2.93

Results
- Total moment: 0.002 μB/f.u.
- Total energy: -4.55 eV per atom
- Excess energy over the best structure of this formula in the dataset: 0.0 meV per atom

4.
Entry from OQMD: a relaxed PrNd2TaO6 crystal (PBE-GGA).

a b c (Å): 9.9530 5.9085 6.0131
angles (deg): 90.00 123.71 90.00
Closest atoms and distances in Å follow each position.
Space group C2/m (No. 12)
Unique sites:
1 Pr 0.0000 0.0000 0.0000  6 O 2.41
2 Nd 0.2412 0.5000 0.2723  5 O 2.37-2.48
3 Ta 0.0000 0.5000 0.5000  6 O 2.04
4 O 0.0825 0.2488 0.3730  1 Ta 2.04
5 O 0.2206 0.5000 0.8550  1 Ta 2.04

Results
- Total moment: 0.887 μB/f.u.
- Total energy: -8.46 eV per atom

5.
Entry from OQMD: a relaxed ScZnFeNi crystal (PBE-GGA).

a b c (Å): 5.9953 5.9953 5.9953
angles (deg): 90.00 90.00 90.00
Closest atoms and distances in Å follow each position.
Space group F-43m (No. 216)
Unique sites:
1 Sc 0.0000 0.0000 0.0000  4 Ni 2.60, 4 Fe 2.60
2 Zn 0.0000 0.0000 0.5000  4 Fe 2.60, 4 Ni 2.60
3 Fe 0.2500 0.2500 0.2500  4 Sc 2.60, 4 Zn 2.60
4 Ni 0.2500 0.2500 0.7500  4 Sc 2.60, 4 Zn 2.60

Results
- Total moment: 0.822 μB/f.u.
- Energy of formation: -0.13 eV/atom
- Total energy: -5.50 eV per atom
- Excess energy over the best structure of this formula in the dataset: 0.0 meV per atom

6.
Entry from OQMD: a relaxed CuTcF6 crystal (PBE-GGA).

a b c (Å): 4.7982 4.7982 13.4573
angles (deg): 90.00 90.00 120.00
Closest atoms and distances in Å follow each position.
Space group R-3 (No. 148, hexagonal axes)
Unique sites:
1 Cu 0.0000 0.0000 0.0000  6 F 2.00
2 Tc 0.0000 0.0000 0.5000  6 F 1.93
3 F 0.0024 0.3452 0.9155  1 Tc 1.93, 1 Cu 2.00

Results
- Total moment: 2.027 μB/f.u.
- Total energy: -5.00 eV per atom

7.
Entry from OQMD: a relaxed CsPrCdTeSe2 crystal (PBE-GGA).

a b c (Å): 4.4811 16.9548 11.9554
angles (deg): 90.00 90.00 90.00
Closest atoms and distances in Å follow each position.
Space group Cmcm (No. 63)
Unique sites:
1 Cs 0.0000 0.2331 0.2500  4 Se 3.78, 2 Te 3.88, 2 Cd 4.16
2 Pr 0.0000 0.0000 0.0000  4 Se 3.02, 2 Te 3.28
3 Cd 0.0000 0.4735 0.7500  2 Se 2.65, 2 Te 2.88
4 Te 0.0000 0.0800 0.7500  2 Cd 2.88
5 Se 0.0000 0.3890 0.5632  1 Cd 2.65

Results
- Total moment: 0.003 μB/f.u.
- Total energy: -4.05 eV per atom

8.
Entry from OQMD: a relaxed FeCu5B2 crystal (PBE-GGA).

a b c (Å): 3.5755 3.5755 6.3219
angles (deg): 90.00 90.00 90.00
Closest atoms and distances in Å follow each position.
Space group P4/mmm (No. 123)
Unique sites:
1 Fe 0.0000 0.0000 0.0000  8 Cu 2.41, 4 B 2.53
2 Cu 0.0000 0.5000 0.2548  4 B 2.37-2.41, 6 Cu 2.37-2.53, 2 Fe 2.41
3 Cu 0.5000 0.5000 0.5000  8 Cu 2.37, 4 B 2.53
4 B 0.0000 0.0000 0.5000  12 Cu 2.37-2.53
5 B 0.5000 0.5000 0.0000  8 Cu 2.41, 4 Fe 2.53

Results
- Total moment: 2.209 μB/f.u.
- Total energy: -4.56 eV per atom
- Excess energy over the best structure of this formula in the dataset: 0.0 meV per atom

9.
Entry from OQMD: a relaxed SmNiGe2Pd crystal (PBE-GGA).

a b c (Å): 4.2168 4.2168 10.0989
angles (deg): 90.00 90.00 90.00
Closest atoms and distances in Å follow each position.
Space group I-4m2 (No. 119)
Unique sites:
1 Sm 0.0000 0.0000 0.0000  8 Ge 3.23, 4 Ni 3.29, 4 Pd 3.29
2 Ni 0.0000 0.5000 0.7500  4 Ge 2.46
3 Ge 0.0000 0.0000 0.3758  2 Ni 2.46, 2 Pd 2.46, 1 Ge 2.51
4 Pd 0.0000 0.5000 0.2500  4 Ge 2.46

Results
- Total moment: 0.002 μB/f.u.
- Total energy: -5.68 eV per atom

10.
Entry from OQMD: a relaxed PrThCu crystal (PBE-GGA).

a b c (Å): 7.0422 7.0422 7.0422
angles (deg): 90.00 90.00 90.00
Closest atoms and distances in Å follow each position.
Space group F-43m (No. 216)
Unique sites:
1 Pr 0.0000 0.0000 0.0000  4 Cu 3.05
2 Th 0.0000 0.0000 0.5000  4 Cu 3.05
3 Cu 0.2500 0.2500 0.2500  4 Pr 3.05, 4 Th 3.05

Results
- Total moment: 0.002 μB/f.u.
- Energy of formation: 0.22 eV/atom
- Total energy: -5.08 eV per atom

11.
Entry from OQMD: a relaxed Cu2Ag3 crystal (PBE-GGA).

a b c (Å): 4.8251 14.0882 4.8402
angles (deg): 90.00 108.65 90.00
Closest atoms and distances in Å follow each position.
Space group C2 (No. 5)
Unique sites:
1 Cu 0.0000 0.0000 0.0000  8 Ag 2.64-2.89, 4 Cu 2.73-2.77
2 Cu 0.0000 0.0949 0.5000  7 Ag 2.75-2.78, 5 Cu 2.76-2.82
3 Cu 0.0000 0.2909 0.5000  1 Cu 2.76, 11 Ag 2.78-2.92
4 Cu 0.0000 0.5914 0.0000  4 Cu 2.73-2.82, 8 Ag 2.74-2.86
5 Ag 0.0000 0.1873 0.0000  7 Cu 2.64-2.83, 4 Ag 2.82-2.85
6 Ag 0.0000 0.3970 0.0000  5 Cu 2.74-2.84, 7 Ag 2.81-2.95
7 Ag 0.0000 0.4983 0.5000  5 Ag 2.75-2.81, 7 Cu 2.75-2.92
8 Ag 0.0000 0.6935 0.5000  6 Ag 2.75-2.89, 6 Cu 2.78-2.82
9 Ag 0.0000 0.7946 0.0000  8 Ag 2.81-2.85, 4 Cu 2.82-2.89
10 Ag 0.0000 0.8987 0.5000  5 Cu 2.76-2.85, 7 Ag 2.79-2.89

Results
- Energy of formation: 0.10 eV/atom
- Total energy: -3.09 eV per atom
- Excess energy over the best structure of this formula in the dataset: 63.5 meV per atom

12.
Entry from OQMD: a relaxed Hf4Ni2SbP crystal (PBE-GGA).

a b c (Å): 5.3595 3.6745 7.6773
angles (deg): 90.00 109.74 90.00
Closest atoms and distances in Å follow each position.
Space group Pm (No. 6)
Unique sites:
1 Hf 0.0000 0.0000 0.0000  3 Ni 2.57-2.62, 1 P 2.86
2 Hf 0.0329 0.5000 0.6087  2 P 2.69, 3 Ni 2.76-2.83, 2 Sb 2.84-2.93
3 Hf 0.4438 0.0000 0.4449  2 Ni 2.68, 2 P 2.74-2.84, 2 Sb 2.91
4 Hf 0.5311 0.5000 0.1268  2 P 2.73, 4 Ni 2.73-2.85, 1 Sb 3.02
5 Ni 0.0921 0.5000 0.2567  2 P 2.34, 2 Hf 2.62
6 Ni 0.3597 0.0000 0.8478  2 Sb 2.52, 5 Hf 2.57-2.76
7 Sb 0.6130 0.5000 0.7568  2 Ni 2.52
8 P 0.8824 0.0000 0.3369  2 Ni 2.34

Results
- Total moment: 0.002 μB/f.u.
- Total energy: -8.27 eV per atom

Question: The highest total energy belongs to which entry?
Answer: SmZn8Cu4

Question: What is the total energy in the second record?
Answer: -3.51 eV per atom

Question: The lowest total energy belongs to which entry?
Answer: PrNd2TaO6

Question: Which of these has the lowest total energy?
Answer: PrNd2TaO6